# 1
The following is a DFT calculation (PBE) of a relaxed structure of Sr4TaAu.

abc: 6.7660 6.7660 6.7660
angles: 60.00 60.00 60.00
Last column: magnetic moment on the atom in μB.
Positions (direct):
Sr1 0.3753 0.3753 0.3753  0.12
Au1 0.0000 0.0000 0.0000  0.03
Sr2 0.3753 0.3753 0.8742  0.12
Ta1 0.7500 0.7500 0.7500  2.07
Sr3 0.3753 0.8742 0.3753  0.12
Sr4 0.8742 0.3753 0.3753  0.12

Calculated formation energy ... 1.07 eV/atom
Space-group type ... F-43m (216)
Total magnetic moment ... 0.938 μB/atom

# 2
The following is a DFT calculation (PBE) of a relaxed structure of Ti2CuNi4.

abc: 4.2521 4.2521 6.7070
angles: 71.52 71.52 90.00
Positions (direct):
Ni1 0.0000 0.5000 0.0000
Cu1 0.0000 0.0000 0.0000
Ti1 0.6217 0.6217 0.7565
Ni2 0.8059 0.8059 0.3883
Ni3 0.5000 0.0000 0.0000
Ti2 0.3783 0.3783 0.2435
Ni4 0.1941 0.1941 0.6117

Calculated formation energy ... 0.56 eV/atom
Space-group type ... I4/mmm (139)
Total magnetic moment ... 0.000 μB/atom

# 3
The following is a DFT calculation (PBE) of a relaxed structure of BaMg2In2.

abc: 4.9034 4.9034 7.1906
angles: 70.06 70.06 90.00
Positions (direct):
Ba1 0.0000 0.0000 0.0000
In1 0.6156 0.6156 0.7689
Mg1 0.2500 0.7500 0.5000
In2 0.3844 0.3844 0.2311
Mg2 0.7500 0.2500 0.5000

Calculated formation energy ... -0.31 eV/atom
Space-group type ... I4/mmm (139)
Total magnetic moment ... 0.000 μB/atom